# KRbBiAu

A geometry-optimized KRbBiAu structure (PBE-GGA, the Open Quantum Materials Database).

Unit cell a=5.959 b=5.959 c=5.959 alpha=60.00 beta=60.00 gamma=60.00
Atoms (fractional coordinates):
K 0.000 0.000 0.000
Rb 0.500 0.500 0.500
Bi 0.750 0.750 0.750
Au 0.250 0.250 0.250

Summary:
- Crystal system: cubic
- Excess energy over the best structure of this formula in the dataset: 0.430 eV/atom

---

# SnHgPd

A geometry-optimized SnHgPd structure (PBE-GGA, the Open Quantum Materials Database).

Unit cell a=4.602 b=4.602 c=4.602 alpha=60.00 beta=60.00 gamma=60.00
Atoms (fractional coordinates):
Sn 0.000 0.000 0.000
Hg 0.500 0.500 0.500
Pd 0.750 0.750 0.750

Summary:
- Crystal system: cubic
- Excess energy over the best structure of this formula in the dataset: 0.000 eV/atom

---

# GdHoMg2

A geometry-optimized GdHoMg2 structure (PBE-GGA, the Open Quantum Materials Database).

Unit cell a=3.234 b=3.234 c=11.383 alpha=90.00 beta=90.00 gamma=90.00
Atoms (fractional coordinates):
Gd 0.000 0.000 0.000
Ho 0.500 0.500 0.500
Mg 0.000 0.000 0.284
Mg 0.000 0.000 0.716

Summary:
- Crystal system: tetragonal
- Excess energy over the best structure of this formula in the dataset: 0.405 eV/atom

---

# Cs4Si2AgO7

A geometry-optimized Cs4Si2AgO7 structure (PBE-GGA, the Open Quantum Materials Database).

Unit cell a=6.497 b=7.414 c=7.456 alpha=113.97 beta=100.66 gamma=107.69
Atoms (fractional coordinates):
Cs 0.069 0.043 0.277
Cs 0.331 0.600 0.230
Cs 0.669 0.400 0.770
Cs 0.931 0.957 0.723
Si 0.207 0.570 0.716
Si 0.793 0.430 0.284
Ag 0.500 0.000 0.000
O 0.000 0.500 0.500
O 0.165 0.747 0.916
O 0.192 0.356 0.731
O 0.458 0.715 0.716
O 0.542 0.285 0.284
O 0.808 0.644 0.269
O 0.835 0.253 0.084

Summary:
- Crystal system: triclinic
- Final energy: -79.12 eV for the cell shown

---

# Zr2Co

A geometry-optimized Zr2Co structure (PBE-GGA, the Open Quantum Materials Database).

Unit cell a=8.589 b=8.589 c=8.589 alpha=60.00 beta=60.00 gamma=60.00
Atoms (fractional coordinates):
Zr 0.000 0.000 0.000
Zr 0.000 0.000 0.500
Zr 0.000 0.500 0.000
Zr 0.188 0.188 0.562
Zr 0.188 0.562 0.188
Zr 0.188 0.562 0.562
Zr 0.438 0.438 0.812
Zr 0.438 0.812 0.438
Zr 0.438 0.812 0.812
Zr 0.500 0.000 0.000
Zr 0.562 0.188 0.188
Zr 0.562 0.188 0.562
Zr 0.562 0.562 0.188
Zr 0.812 0.438 0.438
Zr 0.812 0.438 0.812
Zr 0.812 0.812 0.438
Co 0.167 0.778 0.778
Co 0.222 0.222 0.222
Co 0.222 0.222 0.833
Co 0.222 0.833 0.222
Co 0.778 0.167 0.778
Co 0.778 0.778 0.167
Co 0.778 0.778 0.778
Co 0.833 0.222 0.222

Summary:
- Crystal system: cubic
- Calculated formation energy: -0.198 eV/atom

---

# CuSiBPd

A geometry-optimized CuSiBPd structure (PBE-GGA, the Open Quantum Materials Database).

Unit cell a=4.071 b=4.071 c=4.071 alpha=60.00 beta=60.00 gamma=60.00
Atoms (fractional coordinates):
Cu 0.000 0.000 0.000
Si 0.750 0.750 0.750
B 0.250 0.250 0.250
Pd 0.500 0.500 0.500

Summary:
- Crystal system: cubic
- Excess energy over the best structure of this formula in the dataset: 0.000 eV/atom